# 1
## Pm2Si4Ni3Pd (PBE-GGA)

Data for Pm2Si4Ni3Pd after structural relaxation.

DFT total energy = -6.216 eV per atom
Energy relative to the elements, uncorrected = -813 kJ/mol of formula units

a b c (Å): 4.069 4.069 9.692
angles (deg): 90.00 90.00 90.00
Sites, in units of the cell vectors:
Si: 0.500 0.500 0.000
Si: 0.000 0.500 0.362
Pd: 0.500 0.500 0.500
Ni: 0.500 0.000 0.881
Ni: 0.000 0.500 0.119
Si: 0.500 0.000 0.638
Ni: 0.000 0.000 0.500
Pm: 0.500 0.000 0.243
Si: 0.000 0.000 0.000
Pm: 0.000 0.500 0.757

---

# 2
## NaLiPm2Tl4 (PBE-GGA)

Data for NaLiPm2Tl4 after structural relaxation.

DFT total energy = -3.072 eV per atom
Energy of formation = -0.297 eV per atom

a b c (Å): 5.344 5.344 9.219
angles (deg): 73.15 73.15 60.00
Sites, in units of the cell vectors:
Tl: 0.874 0.874 0.378
Li: 0.500 0.500 0.500
Pm: 0.250 0.250 0.250
Tl: 0.623 0.623 0.131
Tl: 0.377 0.377 0.869
Tl: 0.126 0.126 0.622
Na: 0.000 0.000 0.000
Pm: 0.750 0.750 0.750

---

# 3
## HfTeH (PBE-GGA)

Data for HfTeH after structural relaxation.

DFT total energy = -6.131 eV per atom

a b c (Å): 3.683 3.683 10.157
angles (deg): 79.55 79.55 60.00
Sites, in units of the cell vectors:
Hf: 0.875 0.875 0.375
Te: 0.605 0.605 0.184
H: 0.807 0.807 0.578
Hf: 0.125 0.125 0.625
Te: 0.395 0.395 0.816
H: 0.193 0.193 0.422

---

# 4
## CdTcP (PBE-GGA)

Data for CdTcP after structural relaxation.

DFT total energy = -5.230 eV per atom
Energy of formation = 0.334 eV per atom
Offset from the most stable computed form = 539.8 meV per atom

a b c (Å): 4.169 4.169 4.169
angles (deg): 60.00 60.00 60.00
Sites, in units of the cell vectors:
P: 0.250 0.250 0.250
Cd: 0.500 0.500 0.500
Tc: 0.000 0.000 0.000

---

# 5
## BiHPb (PBE-GGA)

Data for BiHPb after structural relaxation.

DFT total energy = -3.360 eV per atom
Offset from the most stable computed form = 0.0 meV per atom

a b c (Å): 4.585 4.585 4.945
angles (deg): 117.62 117.62 90.00
Sites, in units of the cell vectors:
Bi: 0.223 0.223 0.446
H: 0.953 0.953 0.906
Pb: 0.674 0.674 0.348

---

# 6
## ZrVBr (PBE-GGA)

Data for ZrVBr after structural relaxation.

DFT total energy = -6.722 eV per atom
Energy relative to the elements, uncorrected = -80 kJ/mol of formula units
Offset from the most stable computed form = 16.4 meV per atom

a b c (Å): 3.323 3.332 12.411
angles (deg): 89.55 83.16 84.21
Sites, in units of the cell vectors:
Br: 0.601 0.150 0.352
V: 0.905 0.259 0.938
Br: 0.264 0.668 0.060
V: 0.386 0.681 0.838
Zr: 0.937 0.159 0.698
Zr: 0.511 0.654 0.525

---

# 7
## Th2PPd3 (PBE-GGA)

Data for Th2PPd3 after structural relaxation.

DFT total energy = -6.950 eV per atom
Energy of formation = -0.979 eV per atom

a b c (Å): 5.805 5.805 8.842
angles (deg): 112.95 112.95 79.18
Sites, in units of the cell vectors:
Th: 0.758 0.242 0.000
Th: 0.242 0.758 0.000
Pd: 0.826 0.826 0.652
P: 0.334 0.334 0.667
Th: 0.250 0.750 0.500
P: 0.666 0.666 0.333
Pd: 0.353 0.353 0.177
Pd: 0.175 0.175 0.823
Pd: 0.825 0.825 0.177
Pd: 0.174 0.174 0.348
Th: 0.750 0.250 0.500
Pd: 0.647 0.647 0.823

---

# 8
## PmPrZnAu (PBE-GGA)

Data for PmPrZnAu after structural relaxation.

DFT total energy = -4.038 eV per atom
Energy of formation = -0.518 eV per atom
Offset from the most stable computed form = 22.6 meV per atom

a b c (Å): 5.247 5.247 5.247
angles (deg): 60.00 60.00 60.00
Sites, in units of the cell vectors:
Pr: 0.250 0.250 0.250
Zn: 0.500 0.500 0.500
Au: 0.000 0.000 0.000
Pm: 0.750 0.750 0.750

---

Among the records above, which one has the highest DFT total energy? NaLiPm2Tl4

---

What is the formula in the seventh record? Th2PPd3

---

What is the DFT total energy in the fifth record? -3.360 eV per atom

---

DFT total energy of number 5 (BiHPb)? -3.360 eV per atom